Density functional theory data (SCAN) for a PBEsol-optimized structure of Sr2BeRe.

Results
Spin magnetization (μB per formula unit): 1.0
E_form (eV/atom): 0.664
Uncorrected energy (eV per atom): -29.336

Unit cell a=4.0495 b=4.5777 c=6.0121 alpha=112.38 beta=90.00 gamma=90.00
With the nearest neighbours (Å) after each atom.
Sites, in units of the cell vectors:
Re  0.5000  0.7055  0.4109  2 Be 2.25
Be  0.0000  0.7931  0.5863  2 Re 2.25
Sr  0.0000  0.1095  0.2190  2 Be 3.07, 4 Re 3.24
Sr  0.5000  0.3915  0.7830  2 Re 3.08, 4 Be 3.25

---

Density functional theory data (SCAN) for a PBEsol-optimized structure of ZnSiC3.

Results
Spin magnetization (μB per formula unit): 0.0
Formation energy without anion corrections (meV per atom): 2041.1
Uncorrected energy (eV per atom): -8.725

Unit cell a=3.7475 b=3.7475 c=3.7475 alpha=90.00 beta=90.00 gamma=90.00
With the nearest neighbours (Å) after each atom.
Sites, in units of the cell vectors:
C  0.0000  0.5000  0.0000  2 Si 1.87
C  0.0000  0.0000  0.5000  2 Si 1.87
C  0.5000  0.0000  0.0000  2 Si 1.87
Zn  0.5000  0.5000  0.5000  12 C 2.65
Si  0.0000  0.0000  0.0000  6 C 1.87

---

Q: The lowest spin magnetization belongs to which entry?
A: ZnSiC3

---

Q: Which formula does entry 1 have?
A: Sr2BeRe

---

Q: Among the records above, which one has the lowest uncorrected energy?
A: Sr2BeRe